[1]
DFT (PBE) results for an optimized crystal structure of SmDy2Tm9.

a = 11.082 Å, b = 11.082 Å, c = 3.476 Å
α = 90.00°, β = 90.00°, γ = 120.00°
Element x y z (fractional)
Sm: 0.000 0.000 0.000
Dy: 0.333 0.667 0.000
Dy: 0.667 0.333 0.000
Tm: 0.000 0.500 0.000
Tm: 0.178 0.356 0.500
Tm: 0.178 0.822 0.500
Tm: 0.356 0.178 0.500
Tm: 0.500 0.000 0.000
Tm: 0.500 0.500 0.000
Tm: 0.644 0.822 0.500
Tm: 0.822 0.178 0.500
Tm: 0.822 0.644 0.500

Properties
Space group: No. 191


[2]
DFT (PBE) results for an optimized crystal structure of Sm6DyTm2.

a = 7.576 Å, b = 7.576 Å, c = 6.050 Å
α = 90.01°, β = 90.01°, γ = 59.99°
Element x y z (fractional)
Sm: 0.122 0.688 0.787
Sm: 0.311 0.311 0.213
Sm: 0.312 0.878 0.213
Sm: 0.688 0.122 0.787
Sm: 0.689 0.689 0.787
Sm: 0.878 0.312 0.213
Dy: 0.500 0.500 0.500
Tm: 0.166 0.166 0.718
Tm: 0.834 0.834 0.282

Properties
Space group: No. 12


[3]
DFT (PBE) results for an optimized crystal structure of Sm2Dy3Tm.

a = 8.961 Å, b = 8.961 Å, c = 9.691 Å
α = 122.67°, β = 122.67°, γ = 36.63°
Element x y z (fractional)
Sm: 0.001 0.001 0.336
Sm: 0.249 0.249 0.573
Sm: 0.751 0.751 0.427
Sm: 0.999 0.999 0.664
Dy: 0.124 0.124 0.119
Dy: 0.249 0.249 0.910
Dy: 0.499 0.499 0.831
Dy: 0.501 0.501 0.169
Dy: 0.751 0.751 0.090
Dy: 0.876 0.876 0.881
Tm: 0.375 0.375 0.369
Tm: 0.625 0.625 0.631

Properties
Space group: No. 12


[4]
DFT (PBE) results for an optimized crystal structure of Sm4Dy6Tm.

a = 8.508 Å, b = 8.508 Å, c = 8.508 Å
α = 126.99°, β = 126.99°, γ = 78.26°
Element x y z (fractional)
Sm: 0.250 0.250 0.654
Sm: 0.404 0.750 0.000
Sm: 0.596 0.596 0.346
Sm: 0.750 0.404 0.000
Dy: 0.000 0.500 0.500
Dy: 0.051 0.580 0.000
Dy: 0.420 0.420 0.472
Dy: 0.500 0.000 0.500
Dy: 0.580 0.051 0.000
Dy: 0.949 0.949 0.528
Tm: 0.000 0.000 0.000

Properties
Space group: No. 121


Number 1: polymorph energy (0 for the lowest one) 23 meV/atom, raw total energy -4.465 eV/atom, energy relative to the elements 0.05 eV/atom. Number 2: polymorph energy (0 for the lowest one) 161 meV/atom, raw total energy -4.426 eV/atom, energy relative to the elements 0.22 eV/atom. Number 3: polymorph energy (0 for the lowest one) 0 meV/atom, raw total energy -4.554 eV/atom, energy relative to the elements 0.07 eV/atom. Number 4: polymorph energy (0 for the lowest one) 142 meV/atom, raw total energy -4.194 eV/atom, energy relative to the elements 0.44 eV/atom.